A plane-wave DFT calculation with GGA-PBE was carried out for a relaxed structure of NaInSn6.

Values from the calculation:
* E above lowest polymorph: 0.000 eV per atom

a b c (Å): 5.278 6.961 6.961
angles (deg): 120.02 90.00 90.00
Positions (direct):
Na 0.000 0.083 0.917
Sn 0.000 0.574 0.426
Sn 0.000 0.574 0.899
Sn 0.500 0.443 0.096
Sn 0.500 0.904 0.557
Sn 0.500 0.903 0.097
Sn 0.000 0.101 0.426
In 0.500 0.417 0.583

A plane-wave DFT calculation with GGA-PBE was carried out for a relaxed structure of Na5In3Sn.

Values from the calculation:
* E: -2.045 eV/atom

a b c (Å): 9.645 9.645 8.379
angles (deg): 69.10 69.10 70.36
Positions (direct):
In 0.000 0.000 0.500
In 0.000 0.000 0.000
In 0.662 0.662 0.501
In 0.338 0.338 0.499
In 0.382 0.382 0.127
In 0.618 0.618 0.873
Na 0.265 0.735 0.000
Na 0.571 0.003 0.669
Na 0.553 0.553 0.271
Na 0.003 0.571 0.669
Na 0.447 0.447 0.729
Na 0.997 0.429 0.331
Na 0.429 0.997 0.331
Na 0.207 0.207 0.994
Na 0.793 0.793 0.006
Na 0.735 0.265 0.000
Sn 0.137 0.137 0.648
Sn 0.863 0.863 0.352

A plane-wave DFT calculation with GGA-PBE was carried out for a relaxed structure of Na3In4Sn.

Values from the calculation:
* E above lowest polymorph: 0.050 eV per atom

a b c (Å): 7.420 7.420 7.420
angles (deg): 74.94 129.00 129.08
Positions (direct):
Sn 0.422 0.500 0.922
In 0.070 0.334 0.404
In 0.070 0.666 0.735
In 0.082 0.768 0.314
In 0.546 0.232 0.314
Na 0.560 0.755 0.315
Na 0.841 0.000 0.841
Na 0.560 0.245 0.805